a:
The following is a DFT calculation (PBE-GGA) of a relaxed Pm2HgSb crystal.

CIF file:
```
data_Pm2HgSb
_symmetry_space_group_name_H-M 'C m c m'
_symmetry_Int_Tables_number 63
_symmetry_space_group_name_Hall '-C 2c 2'
_cell_length_a 4.2600
_cell_length_b 24.7164
_cell_length_c 4.6729
_cell_angle_alpha 90.00
_cell_angle_beta 90.00
_cell_angle_gamma 90.00
loop_
_atom_site_label
_atom_site_fract_x
_atom_site_fract_y
_atom_site_fract_z
Pm1 0.0000 0.0647 0.2500
Pm2 0.0000 0.3160 0.2500
Hg1 0.0000 0.4569 0.2500
Sb1 0.0000 0.1889 0.2500
```

Properties
The density of states at the Fermi level comes out at 2.539 states/eV/f.u. The volume is 492.0 Å³/cell.

---

b:
The following is a DFT calculation (PBE-GGA) of a relaxed Pm2HgSb crystal.

CIF file:
```
data_Pm2HgSb
_symmetry_space_group_name_H-M 'P 4/m m m'
_symmetry_Int_Tables_number 123
_symmetry_space_group_name_Hall '-P 4 2'
_cell_length_a 4.0000
_cell_length_b 4.0000
_cell_length_c 7.0432
_cell_angle_alpha 90.00
_cell_angle_beta 90.00
_cell_angle_gamma 90.00
loop_
_atom_site_label
_atom_site_fract_x
_atom_site_fract_y
_atom_site_fract_z
Pm1 0.0000 0.0000 0.2442
Hg1 0.5000 0.5000 0.5000
Sb1 0.5000 0.5000 0.0000
```

Properties
The density of states at the Fermi level comes out at 3.518 states/eV/f.u. The volume is 112.7 Å³/cell.

---

c:
The following is a DFT calculation (PBE-GGA) of a relaxed Pm2HgSb crystal.

CIF file:
```
data_Pm2HgSb
_symmetry_space_group_name_H-M 'R 3 m'
_symmetry_Int_Tables_number 160
_symmetry_space_group_name_Hall 'R 3 -2"'
_cell_length_a 4.2970
_cell_length_b 4.2970
_cell_length_c 23.9652
_cell_angle_alpha 90.00
_cell_angle_beta 90.00
_cell_angle_gamma 120.00
loop_
_atom_site_label
_atom_site_fract_x
_atom_site_fract_y
_atom_site_fract_z
Pm1 0.0000 0.0000 0.0000
Pm2 0.0000 0.0000 0.1778
Hg1 0.0000 0.0000 0.4214
Sb1 0.0000 0.0000 0.5895
```

Properties
The density of states at the Fermi level comes out at 3.611 states/eV/f.u. The volume is 383.2 Å³/cell.

---

Stability summary - winner: a; margin: 45 meV per atom.

---

a:
The following is a DFT calculation (PBE-GGA) of a relaxed PmHgSb2 crystal.

CIF file:
```
data_PmHgSb2
_symmetry_space_group_name_H-M 'P 4/m m m'
_symmetry_Int_Tables_number 123
_symmetry_space_group_name_Hall '-P 4 2'
_cell_length_a 4.2383
_cell_length_b 4.2383
_cell_length_c 6.4883
_cell_angle_alpha 90.00
_cell_angle_beta 90.00
_cell_angle_gamma 90.00
loop_
_atom_site_label
_atom_site_fract_x
_atom_site_fract_y
_atom_site_fract_z
Pm1 0.0000 0.0000 0.0000
Hg1 0.0000 0.0000 0.5000
Sb1 0.5000 0.5000 0.2225
```

Properties
The density of states at the Fermi level comes out at 2.726 states/eV/f.u. The volume is 116.6 Å³/cell.

---

b:
The following is a DFT calculation (PBE-GGA) of a relaxed PmHgSb2 crystal.

CIF file:
```
data_PmHgSb2
_symmetry_space_group_name_H-M 'F m -3 m'
_symmetry_Int_Tables_number 225
_symmetry_space_group_name_Hall '-F 4 2 3'
_cell_length_a 7.6542
_cell_length_b 7.6542
_cell_length_c 7.6542
_cell_angle_alpha 90.00
_cell_angle_beta 90.00
_cell_angle_gamma 90.00
loop_
_atom_site_label
_atom_site_fract_x
_atom_site_fract_y
_atom_site_fract_z
Pm1 0.0000 0.0000 0.0000
Hg1 0.0000 0.0000 0.5000
Sb1 0.2500 0.2500 0.2500
```

Properties
The density of states at the Fermi level comes out at 6.034 states/eV/f.u. The volume is 448.4 Å³/cell.

---

c:
The following is a DFT calculation (PBE-GGA) of a relaxed PmHgSb2 crystal.

CIF file:
```
data_PmHgSb2
_symmetry_space_group_name_H-M 'C m m e'
_symmetry_Int_Tables_number 67
_symmetry_space_group_name_Hall '-C 2a 2'
_cell_length_a 6.2701
_cell_length_b 10.8572
_cell_length_c 6.3816
_cell_angle_alpha 90.00
_cell_angle_beta 90.00
_cell_angle_gamma 90.00
loop_
_atom_site_label
_atom_site_fract_x
_atom_site_fract_y
_atom_site_fract_z
Pm1 0.0000 0.2500 0.2045
Hg1 0.2500 0.0000 0.5000
Sb1 0.0000 0.2500 0.6988
Sb2 0.2500 0.0000 0.0000
```

Properties
The density of states at the Fermi level comes out at 2.347 states/eV/f.u. The volume is 434.4 Å³/cell.

---

Stability summary - winner: a; margin: 10 meV per atom.